VASP calculation (PBE) on crystalline HgHRh at its relaxed geometry.

Cell and atoms, written as POSCAR:
```
HgHRh
1.0
3.1355 0.0000 0.0000
-1.5677 2.7154 0.0000
0.0000 0.0000 4.5330
Rh Hg H
1 1 1
Direct
0.6667 0.3333 0.5004
0.0000 0.0000 0.0003
0.3333 0.6667 0.4993
```

D(E_F), states/eV/atom: 0.83
Excess energy over the best structure of this formula in the dataset, eV/atom: 0.000
Space-group type: P-6m2 (187)

VASP calculation (PBE) on crystalline HgHRh at its relaxed geometry.

Cell and atoms, written as POSCAR:
```
HgHRh
1.0
-1.6144 -0.5290 -2.2583
2.3156 -0.2085 -1.6065
-0.1135 -4.5254 2.9094
Rh H Hg
1 1 1
Direct
0.7322 0.7322 0.4643
0.2594 0.2594 0.5188
0.0084 0.0084 0.0169
```

D(E_F), states/eV/atom: 0.70
Excess energy over the best structure of this formula in the dataset, eV/atom: 0.184
Space-group type: I4mm (107)

VASP calculation (PBE) on crystalline HgHRh at its relaxed geometry.

Cell and atoms, written as POSCAR:
```
HgHRh
1.0
3.1596 0.0000 0.0087
0.0000 5.6403 0.0000
-0.0271 0.0000 9.0967
H Rh Hg
4 4 4
Direct
0.2503 0.4728 0.4269
0.2503 0.0272 0.9269
0.7497 0.5272 0.5731
0.7497 0.9728 0.0731
0.7502 0.3384 0.4029
0.7502 0.1616 0.9030
0.2498 0.8384 0.0970
0.2498 0.6616 0.5970
0.7494 0.8484 0.3561
0.2506 0.3484 0.1439
0.7494 0.6516 0.8561
0.2506 0.1516 0.6439
```

D(E_F), states/eV/atom: 0.31
Excess energy over the best structure of this formula in the dataset, eV/atom: 0.063
Space-group type: Pnma (62)

VASP calculation (PBE) on crystalline HgHRh3 at its relaxed geometry.

Cell and atoms, written as POSCAR:
```
HgHRh3
1.0
-2.9473 -1.2174 -2.4499
1.7988 -3.5756 -0.3871
-2.0612 -1.3796 3.1653
Rh H Hg
3 1 1
Direct
0.0000 0.0000 0.5000
0.5000 0.0000 0.0000
0.0000 0.5000 0.0000
0.0000 0.0000 0.0000
0.5000 0.5000 0.5000
```

D(E_F), states/eV/atom: 0.52
Excess energy over the best structure of this formula in the dataset, eV/atom: 0.000
Space-group type: Pm-3m (221)

VASP calculation (PBE) on crystalline HgHRh at its relaxed geometry.

Cell and atoms, written as POSCAR:
```
HgHRh
1.0
-1.9802 3.0634 4.1049
2.4473 -0.0459 6.1233
3.1187 5.2460 2.4982
Hg H Rh
4 4 4
Direct
0.2399 0.1385 0.3885
0.7601 0.8615 0.6115
0.7601 0.3615 0.1115
0.2399 0.6385 0.8885
0.6329 0.3491 0.5991
0.3671 0.1509 0.9009
0.3671 0.6509 0.4009
0.6329 0.8491 0.0991
0.7339 0.1262 0.8762
0.7339 0.6262 0.3762
0.2661 0.3738 0.6238
0.2661 0.8738 0.1238
```

D(E_F), states/eV/atom: 0.38
Excess energy over the best structure of this formula in the dataset, eV/atom: 0.052
Space-group type: P2_1/m (11)

VASP calculation (PBE) on crystalline Hg3H12Rh5 at its relaxed geometry.

Cell and atoms, written as POSCAR:
```
Hg3H12Rh5
1.0
9.9185 0.0000 0.0000
-3.3062 9.3512 0.0000
-3.3062 -4.6756 8.0984
H Rh Hg
48 20 12
Direct
0.5007 0.3142 0.9211
0.8931 0.0789 0.5795
0.4211 0.0007 0.3142
0.1865 0.5007 0.5795
0.5795 0.0007 0.1865
0.6069 0.6865 0.6858
0.9993 0.5789 0.1858
0.5789 0.5795 0.3931
0.8142 0.8931 0.3135
0.3931 0.0795 0.5789
0.8135 0.3142 0.8931
0.3135 0.3931 0.8142
0.0789 0.8931 0.0795
0.3142 0.8135 0.3931
0.5789 0.9993 0.6858
0.1858 0.0789 0.9993
0.3135 0.9205 0.9993
0.0795 0.6865 0.5007
0.9205 0.6069 0.9211
0.6858 0.1865 0.6069
0.6865 0.0795 0.0007
0.4211 0.4205 0.6069
0.3931 0.3135 0.3142
0.6069 0.9205 0.4211
0.8142 0.9211 0.0007
0.0789 0.1858 0.4993
0.9211 0.8142 0.5007
0.1865 0.6858 0.1069
0.0007 0.4211 0.8142
0.6858 0.4993 0.5789
0.4993 0.6858 0.0789
0.3142 0.5007 0.4211
0.9993 0.4205 0.3135
0.5795 0.5789 0.8931
0.4993 0.8135 0.9205
0.5007 0.1865 0.0795
0.0007 0.5795 0.6865
0.4205 0.9993 0.8135
0.1069 0.1858 0.1865
0.6865 0.6069 0.1858
0.8135 0.4993 0.4205
0.9205 0.3135 0.4993
0.4205 0.4211 0.1069
0.8931 0.8142 0.8135
0.9211 0.1069 0.9205
0.1858 0.1069 0.6865
0.0795 0.3931 0.0789
0.1069 0.9211 0.4205
0.0000 0.0000 0.5000
0.1250 0.3750 0.2500
0.5000 0.5000 0.0000
0.5000 0.0000 0.5000
0.0000 0.5000 0.5000
0.8750 0.2500 0.6250
0.6250 0.8750 0.2500
0.8750 0.6250 0.7500
0.6250 0.7500 0.8750
0.7500 0.6250 0.3750
0.5000 0.5000 0.5000
0.3750 0.2500 0.1250
0.2500 0.8750 0.1250
0.2500 0.3750 0.6250
0.5000 0.0000 0.0000
0.3750 0.1250 0.7500
0.0000 0.0000 0.0000
0.1250 0.7500 0.3750
0.0000 0.5000 0.0000
0.7500 0.1250 0.8750
0.2500 0.1250 0.3750
0.8750 0.1250 0.2500
0.1250 0.8750 0.7500
0.3750 0.6250 0.2500
0.1250 0.2500 0.8750
0.2500 0.6250 0.8750
0.6250 0.2500 0.3750
0.7500 0.8750 0.6250
0.6250 0.3750 0.7500
0.3750 0.7500 0.6250
0.8750 0.7500 0.1250
0.7500 0.3750 0.1250
```

D(E_F), states/eV/atom: 0.37
Energy, eV per atom: -3.69
Space-group type: Ia-3d (230)